1.
First-principles (PBE) data for LiSiGeHF after structural relaxation, as listed in Alexandria via LeMat-Bulk.

```
5
Lattice="4.003 0.157 0.040 1.688 4.459 0.034 1.813 0.736 4.928" Properties=species:S:1:pos:R:3 pbc="T T T"
Ge 3.055 0.543 0.106
Li 2.840 3.407 1.218
Si 2.801 2.690 4.669
F 2.809 2.783 2.953
H 4.873 1.122 3.461
```

The calculation puts the polymorph energy (0 for the lowest one) at 4.29 kcal/mol of atoms. The raw total energy comes out at -4.13 eV/atom.



2.
First-principles (PBE) data for LaZr2Cl after structural relaxation, as listed in Alexandria via LeMat-Bulk.

```
4
Lattice="10.125 0.012 0.007 9.562 3.330 0.007 9.562 1.623 2.907" Properties=species:S:1:pos:R:3 pbc="T T T"
Cl 7.313 1.241 0.730
Zr 28.895 4.904 2.886
Zr 14.980 2.542 1.496
La 21.938 3.723 2.191
```

The uncorrected formation energy comes out at -74 kJ/mol of formula units. The calculation puts the polymorph energy (0 for the lowest one) at 4.52 kcal/mol of atoms. The raw total energy comes out at -6.16 eV/atom.



3.
First-principles (PBE) data for La3Sm4Th2 after structural relaxation, as listed in Alexandria via LeMat-Bulk.

```
9
Lattice="3.615 0.000 0.000 -1.807 3.130 0.000 0.000 0.000 27.547" Properties=species:S:1:pos:R:3 pbc="T T T"
La 0.000 0.000 27.041
La 0.000 0.000 8.841
La 1.807 1.043 18.011
Sm 0.000 0.000 21.101
Sm 1.807 1.043 12.015
Sm 1.807 1.043 5.887
Sm 0.000 0.000 14.910
Th 1.807 1.043 2.533
Th 1.807 1.043 24.013
```

The value obtained for the energy relative to the elements is 90.5 meV/atom. The calculation puts the polymorph energy (0 for the lowest one) at 0.62 kcal/mol of atoms. The raw total energy comes out at -5.30 eV/atom.



4.
First-principles (PBE) data for PrErMgHg after structural relaxation, as listed in Alexandria via LeMat-Bulk.

```
4
Lattice="-1.234 2.071 2.901 0.245 -3.013 2.255 7.285 1.899 1.745" Properties=species:S:1:pos:R:3 pbc="T T T"
Er 2.540 0.662 0.608
Pr 6.242 1.627 1.495
Mg 3.796 0.647 3.606
Hg 0.478 -0.218 2.811
```

The value obtained for the energy relative to the elements is -277.8 meV/atom. The calculation puts the polymorph energy (0 for the lowest one) at 0.00 kcal/mol of atoms. The raw total energy comes out at -3.09 eV/atom.



5.
First-principles (PBE) data for InC3 after structural relaxation, as listed in Alexandria via LeMat-Bulk.

```
4
Lattice="-2.981 3.700 -4.432 -4.800 3.697 -2.349 -2.665 5.455 -2.318" Properties=species:S:1:pos:R:3 pbc="T T T"
C -2.204 2.712 -1.920
C -8.242 10.140 -7.179
C -5.223 6.426 -4.549
In 0.000 0.000 0.000
```

The value obtained for the energy relative to the elements is 2441.2 meV/atom. The calculation puts the polymorph energy (0 for the lowest one) at 35.54 kcal/mol of atoms. The raw total energy comes out at -5.16 eV/atom.



6.
First-principles (PBE) data for Np2CuNi4Ge3 after structural relaxation, as listed in Alexandria via LeMat-Bulk.

```
10
Lattice="3.993 0.000 0.000 0.000 3.993 0.000 0.000 0.000 9.965" Properties=species:S:1:pos:R:3 pbc="T T T"
Ni 1.996 1.996 0.000
Ni 0.000 0.000 0.000
Ni 0.000 1.996 3.630
Ni 1.996 0.000 6.335
Np 0.000 1.996 7.422
Np 1.996 0.000 2.542
Ge 1.996 0.000 8.667
Ge 0.000 0.000 4.982
Ge 0.000 1.996 1.297
Cu 1.996 1.996 4.982
```

The value obtained for the energy relative to the elements is -276.0 meV/atom. The raw total energy comes out at -6.97 eV/atom.



7.
First-principles (PBE) data for ErMg4Cd5 after structural relaxation, as listed in Alexandria via LeMat-Bulk.

```
10
Lattice="3.613 0.000 0.000 0.000 3.613 0.000 0.000 0.000 17.086" Properties=species:S:1:pos:R:3 pbc="T T T"
Cd 1.807 1.807 5.255
Cd 1.807 1.807 8.543
Cd 1.807 1.807 15.124
Cd 1.807 1.807 11.832
Cd 1.807 1.807 1.963
Mg 0.000 0.000 3.599
Mg 0.000 0.000 13.487
Mg 0.000 0.000 6.895
Mg 0.000 0.000 10.192
Er 0.000 0.000 0.000
```

The value obtained for the energy relative to the elements is -149.4 meV/atom. The raw total energy comes out at -1.70 eV/atom.



8.
First-principles (PBE) data for Mg6In3Pb after structural relaxation, as listed in Alexandria via LeMat-Bulk.

```
10
Lattice="3.370 0.000 0.000 -1.685 2.919 0.000 0.000 0.000 25.052" Properties=species:S:1:pos:R:3 pbc="T T T"
Mg 1.685 0.973 4.962
Mg 1.685 0.973 22.615
Mg 0.000 1.946 2.437
Mg 0.000 1.946 20.090
Mg 0.000 1.946 9.845
Mg 1.685 0.973 15.208
In 0.000 0.000 0.000
In 0.000 0.000 7.407
In 0.000 0.000 17.646
Pb 0.000 0.000 12.526
```

The value obtained for the energy relative to the elements is -45.0 meV/atom. The calculation puts the polymorph energy (0 for the lowest one) at 0.00 kcal/mol of atoms. The raw total energy comes out at -2.19 eV/atom.



9.
First-principles (PBE) data for Te2RhBr after structural relaxation, as listed in Alexandria via LeMat-Bulk.

```
4
Lattice="3.367 6.553 2.383 6.285 4.523 0.008 3.196 6.797 -1.882" Properties=species:S:1:pos:R:3 pbc="T T T"
Te 2.189 3.045 0.087
Te 7.528 10.472 0.298
Rh 5.930 8.249 0.235
Br 0.426 0.592 0.017
```

The uncorrected formation energy comes out at 51 kJ/mol of formula units. The raw total energy comes out at -3.69 eV/atom.



10.
First-principles (PBE) data for Tc2SeSBr after structural relaxation, as listed in Alexandria via LeMat-Bulk.

```
5
Lattice="4.717 0.000 0.000 0.000 5.278 0.000 0.000 0.000 4.717" Properties=species:S:1:pos:R:3 pbc="T T T"
Se 0.000 0.000 0.000
Br 0.000 2.639 0.000
Tc 0.000 0.000 2.359
Tc 2.359 0.000 0.000
S 2.359 2.639 2.359
```

The uncorrected formation energy comes out at 710 kJ/mol of formula units. The raw total energy comes out at -4.53 eV/atom.



11.
First-principles (PBE) data for HfTi5As4 after structural relaxation, as listed in Alexandria via LeMat-Bulk.

```
20
Lattice="4.981 0.000 0.000 0.000 8.590 0.000 0.000 0.000 8.671" Properties=species:S:1:pos:R:3 pbc="T T T"
Ti 3.748 2.094 2.233
Ti 1.233 6.389 6.568
Ti 2.472 4.295 0.000
Ti 3.748 2.094 6.438
Ti 2.509 0.000 4.336
Ti 1.233 2.201 6.568
Ti 1.233 2.201 2.103
Ti 1.233 6.389 2.103
Ti 3.748 6.496 6.438
Ti 3.748 6.496 2.233
As 2.424 2.760 4.336
As 2.557 1.535 0.000
As 4.875 4.295 1.468
As 4.875 4.295 7.203
As 0.106 0.000 5.804
As 2.424 5.830 4.336
As 0.106 0.000 2.867
As 2.557 7.055 0.000
Hf 0.045 0.000 0.000
Hf 4.936 4.295 4.336
```

The value obtained for the energy relative to the elements is -526.3 meV/atom. The raw total energy comes out at -7.33 eV/atom.



12.
First-principles (PBE) data for YTeRh2 after structural relaxation, as listed in Alexandria via LeMat-Bulk.

```
4
Lattice="5.536 0.003 0.002 3.741 4.081 0.002 3.741 1.647 3.734" Properties=species:S:1:pos:R:3 pbc="T T T"
Te 6.950 3.059 1.995
Rh 3.458 1.522 0.993
Rh 12.478 5.493 3.582
Y 9.661 4.253 2.774
```

The uncorrected formation energy comes out at -191 kJ/mol of formula units. The calculation puts the polymorph energy (0 for the lowest one) at 2.75 kcal/mol of atoms. The raw total energy comes out at -6.57 eV/atom.



Number 1: theoretical density 2.46 Mg/m³. Number 2: theoretical density 6.08 Mg/m³. Number 3: theoretical density 7.90 Mg/m³. Number 4: theoretical density 8.05 Mg/m³. Number 5: theoretical density 6.00 Mg/m³. Number 6: theoretical density 10.35 Mg/m³. Number 7: theoretical density 6.15 Mg/m³. Number 8: theoretical density 4.70 Mg/m³. Number 9: theoretical density 6.26 Mg/m³. Number 10: theoretical density 5.47 Mg/m³. Number 11: theoretical density 6.42 Mg/m³. Number 12: theoretical density 8.32 Mg/m³.